1.
A relaxed structure of Ti3V3Si5. Source: Alexandria via LeMat-Bulk, functional GGA-PBE.

Calculated values
Formation energy without anion corrections (meV per atom): -467.1
Energy (eV/atom): -7.57
Crystal system: orthorhombic
Space-group type: Immm

Lattice parameters (Å, degrees): 9.1108 9.1108 9.1108 147.50 127.71 62.93
Closest atoms and distances in Å follow each position.
Positions (direct):
Ti 0.0000 0.0000 0.5000  6 Si 2.51-2.78, 2 Ti 2.55
Ti 0.0000 0.5000 0.0000  6 Si 2.51-2.78, 2 Ti 2.55
Ti 0.1492 0.1492 0.0000  6 Si 2.60-2.66, 4 Ti 2.85
Ti 0.5000 0.0000 0.0000  6 Si 2.51-2.78, 2 Ti 2.55
Ti 0.5000 0.5000 0.5000  6 Si 2.51-2.78, 2 Ti 2.55
Ti 0.8508 0.8508 0.0000  6 Si 2.60-2.66, 4 Ti 2.85
V 0.1369 0.4165 0.7203  6 Si 2.51-2.67, 1 V 2.59
V 0.3038 0.5835 0.7203  6 Si 2.51-2.67, 1 V 2.59
V 0.5000 0.2563 0.7563  2 V 2.49-2.61, 6 Si 2.55-2.74
V 0.5000 0.7437 0.2437  2 V 2.49-2.61, 6 Si 2.55-2.74
V 0.6962 0.4165 0.2797  6 Si 2.51-2.67, 1 V 2.59
V 0.8631 0.5835 0.2797  6 Si 2.51-2.67, 1 V 2.59
Si 0.0000 0.2396 0.2396  2 Si 2.44-2.66, 4 V 2.56, 2 Ti 2.62
Si 0.0000 0.7604 0.7604  2 Si 2.44-2.66, 4 V 2.56, 2 Ti 2.62
Si 0.1978 0.6978 0.5000  2 V 2.51, 6 Ti 2.51-2.66
Si 0.2093 0.8983 0.3110  4 V 2.55-2.67, 3 Ti 2.60-2.68
Si 0.3429 0.3429 0.0000  4 V 2.52-2.74, 4 Ti 2.78
Si 0.4126 0.1017 0.3110  4 V 2.55-2.67, 3 Ti 2.60-2.68
Si 0.5874 0.8983 0.6890  4 V 2.55-2.67, 3 Ti 2.60-2.68
Si 0.6571 0.6571 0.0000  4 V 2.52-2.74, 4 Ti 2.78
Si 0.7907 0.1017 0.6890  4 V 2.55-2.67, 3 Ti 2.60-2.68
Si 0.8022 0.3021 0.5000  2 V 2.51, 6 Ti 2.51-2.66

2.
A relaxed structure of Ho2Cd2Ag. Source: Alexandria via LeMat-Bulk, functional GGA-PBE.

Calculated values
Energy (eV/atom): -2.97
Crystal system: orthorhombic
Space-group type: Cmmm

Lattice parameters (Å, degrees): 10.3410 10.3410 3.4504 90.00 90.00 159.98
Closest atoms and distances in Å follow each position.
Positions (direct):
Ho 0.0920 0.9080 0.0000  4 Ag 3.12, 4 Cd 3.24, 2 Ho 3.45
Ho 0.9080 0.0920 0.0000  4 Ag 3.12, 4 Cd 3.24, 2 Ho 3.45
Cd 0.3062 0.6938 0.5000  2 Cd 2.91, 4 Ho 3.24
Cd 0.6938 0.3062 0.5000  2 Cd 2.91, 4 Ho 3.24
Ag 0.5000 0.5000 0.5000  8 Ho 3.12, 2 Ag 3.45

3.
A relaxed structure of LiThAu4. Source: Alexandria via LeMat-Bulk, functional GGA-PBE.

Calculated values
Energy (eV/atom): -4.22
Crystal system: monoclinic
Space-group type: P2_1/m

Lattice parameters (Å, degrees): 4.4008 7.5362 7.7718 90.00 106.27 90.00
Closest atoms and distances in Å follow each position.
Positions (direct):
Li 0.1296 0.2500 0.2613  6 Au 2.71-2.72
Li 0.8704 0.7500 0.7387  6 Au 2.71-2.72
Th 0.1734 0.7500 0.3502  10 Au 3.05-3.22
Th 0.8266 0.2500 0.6498  10 Au 3.05-3.22
Au 0.0000 0.0000 0.0000  2 Li 2.71, 4 Au 2.91
Au 0.0000 0.5000 0.0000  2 Li 2.71, 4 Au 2.91
Au 0.3520 0.5421 0.7015  2 Li 2.72, 2 Au 2.94-2.96
Au 0.3520 0.9579 0.7015  2 Li 2.72, 2 Au 2.94-2.96
Au 0.4812 0.2500 0.9624  8 Au 2.91-2.96, 2 Li 3.13, 2 Th 3.21
Au 0.5188 0.7500 0.0376  8 Au 2.91-2.96, 2 Li 3.13, 2 Th 3.21
Au 0.6480 0.0421 0.2985  2 Li 2.72, 2 Au 2.94-2.96
Au 0.6480 0.4579 0.2985  2 Li 2.72, 2 Au 2.94-2.96

4.
A relaxed structure of LaPm4Eu. Source: Alexandria via LeMat-Bulk, functional GGA-PBE.

Calculated values
Energy (eV/atom): -5.48
Crystal system: cubic
Space-group type: F-43m

Lattice parameters (Å, degrees): 6.8490 6.8490 6.8490 60.00 60.00 60.00
Closest atoms and distances in Å follow each position.
Positions (direct):
La 0.0000 0.0000 0.0000  12 Pm 4.01, 4 Eu 4.19
Pm 0.3734 0.3734 0.3734  6 Pm 3.38-3.47
Pm 0.3734 0.3734 0.8797  6 Pm 3.38-3.47
Pm 0.3734 0.8797 0.3734  6 Pm 3.38-3.47
Pm 0.8797 0.3734 0.3734  6 Pm 3.38-3.47
Eu 0.7500 0.7500 0.7500  12 Pm 4.02, 4 La 4.19

5.
A relaxed structure of MgAlPdI2. Source: Alexandria via LeMat-Bulk, functional GGA-PBE.

Calculated values
Formation energy without anion corrections (meV per atom): 475.9
Energy (eV/atom): -2.25
Crystal system: tetragonal
Space-group type: P4/mmm

Lattice parameters (Å, degrees): 5.6865 5.6865 5.2188 90.00 90.00 90.00
Closest atoms and distances in Å follow each position.
Positions (direct):
Mg 0.0000 0.0000 0.0000  2 Al 2.61
Al 0.0000 0.0000 0.5000  2 Mg 2.61, 4 I 2.84
Pd 0.5000 0.5000 0.0000  8 I 3.86, 4 Mg 4.02
I 0.0000 0.5000 0.5000  2 Al 2.84
I 0.5000 0.0000 0.5000  2 Al 2.84

6.
A relaxed structure of Ba3Ce2HfAs6. Source: Alexandria via LeMat-Bulk, functional GGA-PBE.

Calculated values
Energy (eV/atom): -5.80
Crystal system: monoclinic
Space-group type: C2/m

Lattice parameters (Å, degrees): 7.4644 7.4644 7.8410 99.13 99.13 120.00
Closest atoms and distances in Å follow each position.
Positions (direct):
Ba 0.0000 0.0000 0.0000  6 As 3.30-3.41
Ba 0.3317 0.6683 0.0000  6 As 3.30-3.40
Ba 0.6683 0.3317 0.0000  6 As 3.30-3.40
Ce 0.1663 0.8337 0.5000  6 As 2.95
Ce 0.8337 0.1663 0.5000  6 As 2.95
Hf 0.5000 0.5000 0.5000  6 As 2.81-2.82
As 0.1141 0.4329 0.2988  1 Hf 2.81, 2 Ce 2.95
As 0.2490 0.2490 0.7026  1 Hf 2.82, 2 Ce 2.95
As 0.4329 0.1141 0.2988  1 Hf 2.81, 2 Ce 2.95
As 0.5671 0.8859 0.7012  1 Hf 2.81, 2 Ce 2.95
As 0.7510 0.7510 0.2974  1 Hf 2.82, 2 Ce 2.95
As 0.8859 0.5671 0.7012  1 Hf 2.81, 2 Ce 2.95

7.
A relaxed structure of Cs2AcZn3F12. Source: Alexandria via LeMat-Bulk, functional GGA-PBE.

Calculated values
Formation energy without anion corrections (meV per atom): -2737.8
Energy (eV/atom): -4.52
Crystal system: trigonal
Space-group type: R-3m

Lattice parameters (Å, degrees): 7.4042 7.4042 7.4042 63.36 63.36 63.36
Closest atoms and distances in Å follow each position.
Positions (direct):
Cs 0.1090 0.1090 0.1090  3 F 2.92
Cs 0.8910 0.8910 0.8910  3 F 2.92
Ac 0.5000 0.5000 0.5000  6 F 2.51
Zn 0.0000 0.5000 0.5000  6 F 2.00-2.04
Zn 0.5000 0.0000 0.5000  6 F 2.00-2.04
Zn 0.5000 0.5000 0.0000  6 F 2.00-2.04
F 0.1018 0.6191 0.6191  1 Zn 2.00
F 0.2272 0.2272 0.5948  2 Zn 2.04
F 0.2272 0.5948 0.2272  2 Zn 2.04
F 0.3809 0.3809 0.8982  1 Zn 2.00
F 0.3809 0.8982 0.3809  1 Zn 2.00
F 0.4052 0.7728 0.7728  2 Zn 2.04
F 0.5948 0.2272 0.2272  2 Zn 2.04
F 0.6191 0.1018 0.6191  1 Zn 2.00
F 0.6191 0.6191 0.1018  1 Zn 2.00
F 0.7728 0.4052 0.7728  2 Zn 2.04
F 0.7728 0.7728 0.4052  2 Zn 2.04
F 0.8982 0.3809 0.3809  1 Zn 2.00

8.
A relaxed structure of TePbW2. Source: Alexandria via LeMat-Bulk, functional GGA-PBE.

Calculated values
Formation energy without anion corrections (meV per atom): 1254.5
Energy (eV/atom): -6.93
Crystal system: orthorhombic
Space-group type: Immm

Lattice parameters (Å, degrees): 5.7470 5.7470 5.7470 147.66 124.47 65.75
Closest atoms and distances in Å follow each position.
Positions (direct):
Te 0.0000 0.0000 0.0000  4 W 2.72
Pb 0.5000 0.5000 0.0000  4 W 3.08, 4 Te 3.12, 2 Pb 3.20
W 0.2278 0.7278 0.5000  2 Te 2.72
W 0.7722 0.2722 0.5000  2 Te 2.72

9.
A relaxed structure of LaTcNi. Source: Alexandria via LeMat-Bulk, functional GGA-PBE.

Calculated values
Energy (eV/atom): -6.00
Crystal system: cubic
Space-group type: F-43m

Lattice parameters (Å, degrees): 4.4642 4.4642 4.4642 60.00 60.00 60.00
Closest atoms and distances in Å follow each position.
Positions (direct):
La 0.0000 0.0000 0.0000  4 Tc 2.73, 4 Ni 2.73
Tc 0.7500 0.7500 0.7500  4 La 2.73
Ni 0.2500 0.2500 0.2500  4 La 2.73

Computed total magnetization (μB per formula unit) in order:
0.00, 0.00, 0.00, 6.96, 0.00, 0.00, 0.92, 0.00, 1.67